(1)
Below is a geometry-optimized SrCd2Cu structure, with properties calculated at the PBE level. Values from VASP.

Cell and atoms, written as Quantum ESPRESSO input:
```
&SYSTEM
  ibrav = 0, nat = 12, ntyp = 3
/
ATOMIC_SPECIES
Sr 87.62 Sr.upf
Cd 112.41 Cd.upf
Cu 63.55 Cu.upf
CELL_PARAMETERS angstrom
4.677 0.000 0.000
-2.338 4.050 0.000
0.000 0.000 16.836
ATOMIC_POSITIONS crystal
Sr 0.000 0.000 0.000
Sr 0.333 0.667 0.667
Sr 0.667 0.333 0.333
Cd 0.000 0.000 0.204
Cd 0.000 0.000 0.796
Cd 0.333 0.667 0.462
Cd 0.333 0.667 0.871
Cd 0.667 0.333 0.129
Cd 0.667 0.333 0.538
Cu 0.000 0.000 0.500
Cu 0.333 0.667 0.167
Cu 0.667 0.333 0.833
```

energy of formation from the pure elements = -0.12 eV/atom
D(E_F) = 6.21 states/eV per cell
M_tot = 0.0000 μB/atom

=====

(2)
Below is a geometry-optimized MgTi6H4O14 structure, with properties calculated at the PBE level. Values from VASP.

Cell and atoms, written as Quantum ESPRESSO input:
```
&SYSTEM
  ibrav = 0, nat = 25, ntyp = 4
/
ATOMIC_SPECIES
Mg 24.30 Mg.upf
Ti 47.87 Ti.upf
H 1.01 H.upf
O 16.00 O.upf
CELL_PARAMETERS angstrom
3.834 0.000 0.000
-1.472 8.220 0.000
-0.003 -2.054 9.392
ATOMIC_POSITIONS crystal
Mg 0.000 0.000 0.000
Ti 0.479 0.950 0.779
Ti 0.525 0.066 0.500
Ti 0.561 0.161 0.219
Ti 0.856 0.661 0.832
Ti 0.902 0.747 0.529
Ti 0.945 0.856 0.245
H 0.062 0.402 0.883
H 0.697 0.402 0.069
H 0.703 0.303 0.792
H 0.743 0.502 0.238
O 0.041 0.107 0.203
O 0.386 0.705 0.838
O 0.431 0.823 0.567
O 0.472 0.927 0.279
O 0.525 0.066 0.985
O 0.560 0.146 0.701
O 0.591 0.243 0.419
O 0.655 0.390 0.168
O 0.816 0.413 0.870
O 0.841 0.588 0.626
O 0.868 0.668 0.333
O 0.911 0.771 0.055
O 0.961 0.903 0.787
O 0.996 0.992 0.476
```

uncorrected energy = -7.679 eV per atom
D(E_F) = 8.15 states/eV per cell
M_tot = 0.0834 μB/atom

=====

(3)
Below is a geometry-optimized V2OsRu2 structure, with properties calculated at the PBE level. Values from VASP.

Cell and atoms, written as Quantum ESPRESSO input:
```
&SYSTEM
  ibrav = 0, nat = 10, ntyp = 3
/
ATOMIC_SPECIES
V 50.94 V.upf
Os 190.23 Os.upf
Ru 101.07 Ru.upf
CELL_PARAMETERS angstrom
7.037 0.000 0.000
0.000 7.037 0.000
0.000 0.000 2.845
ATOMIC_POSITIONS crystal
V 0.150 0.350 0.000
V 0.350 0.850 0.000
V 0.650 0.150 0.000
V 0.850 0.650 0.000
Os 0.000 0.000 0.000
Os 0.500 0.500 0.000
Ru 0.152 0.652 0.500
Ru 0.348 0.152 0.500
Ru 0.652 0.848 0.500
Ru 0.848 0.348 0.500
```

energy of formation from the pure elements = 0.07 eV/atom
D(E_F) = 9.63 states/eV per cell
M_tot = 0.0000 μB/atom

=====

(4)
Below is a geometry-optimized Sr2Cu4Ge3Sb structure, with properties calculated at the PBE level. Values from VASP.

Cell and atoms, written as Quantum ESPRESSO input:
```
&SYSTEM
  ibrav = 0, nat = 10, ntyp = 4
/
ATOMIC_SPECIES
Sr 87.62 Sr.upf
Cu 63.55 Cu.upf
Ge 72.64 Ge.upf
Sb 121.76 Sb.upf
CELL_PARAMETERS angstrom
4.375 0.000 0.000
0.000 4.375 0.000
0.000 0.000 10.432
ATOMIC_POSITIONS crystal
Sr 0.000 0.500 0.237
Sr 0.500 0.000 0.763
Cu 0.000 0.000 0.000
Cu 0.000 0.500 0.643
Cu 0.500 0.000 0.357
Cu 0.500 0.500 0.000
Ge 0.000 0.500 0.879
Ge 0.500 0.000 0.121
Ge 0.500 0.500 0.500
Sb 0.000 0.000 0.500
```

raw formation energy = -0.348 eV per atom
D(E_F) = 3.74 states/eV per cell
M_tot = 0.0000 μB/atom

=====

(5)
Below is a geometry-optimized TaTeAs2 structure, with properties calculated at the PBE level. Values from VASP.

Cell and atoms, written as Quantum ESPRESSO input:
```
&SYSTEM
  ibrav = 0, nat = 4, ntyp = 3
/
ATOMIC_SPECIES
Ta 180.95 Ta.upf
Te 127.60 Te.upf
As 74.92 As.upf
CELL_PARAMETERS angstrom
3.890 0.000 0.000
0.000 4.898 0.000
-1.094 0.000 4.739
ATOMIC_POSITIONS crystal
Ta 0.000 0.000 0.000
Te 0.500 0.000 0.500
As 0.197 0.500 0.832
As 0.803 0.500 0.168
```

raw formation energy = 0.176 eV per atom
D(E_F) = 2.56 states/eV per cell
M_tot = 0.0001 μB/atom

=====

(6)
Below is a geometry-optimized Cd2Bi2Se structure, with properties calculated at the PBE level. Values from VASP.

Cell and atoms, written as Quantum ESPRESSO input:
```
&SYSTEM
  ibrav = 0, nat = 10, ntyp = 3
/
ATOMIC_SPECIES
Cd 112.41 Cd.upf
Bi 208.98 Bi.upf
Se 78.96 Se.upf
CELL_PARAMETERS angstrom
8.377 0.000 0.000
0.000 8.377 0.000
0.000 0.000 4.146
ATOMIC_POSITIONS crystal
Cd 0.120 0.380 0.000
Cd 0.380 0.880 0.000
Cd 0.620 0.120 0.000
Cd 0.880 0.620 0.000
Bi 0.195 0.695 0.500
Bi 0.305 0.195 0.500
Bi 0.695 0.805 0.500
Bi 0.805 0.305 0.500
Se 0.000 0.000 0.500
Se 0.500 0.500 0.500
```

raw formation energy = 0.059 eV per atom
D(E_F) = 4.80 states/eV per cell
M_tot = 0.0000 μB/atom

=====

(7)
Below is a geometry-optimized Pm3Th structure, with properties calculated at the PBE level. Values from VASP.

Cell and atoms, written as Quantum ESPRESSO input:
```
&SYSTEM
  ibrav = 0, nat = 8, ntyp = 2
/
ATOMIC_SPECIES
Pm 145.00 Pm.upf
Th 232.04 Th.upf
CELL_PARAMETERS angstrom
5.134 0.000 0.000
0.000 5.134 0.000
0.000 0.000 10.279
ATOMIC_POSITIONS crystal
Pm 0.000 0.000 0.000
Pm 0.000 0.500 0.250
Pm 0.000 0.500 0.750
Pm 0.500 0.000 0.250
Pm 0.500 0.000 0.750
Pm 0.500 0.500 0.500
Th 0.000 0.000 0.500
Th 0.500 0.500 0.000
```

energy of formation from the pure elements = 0.07 eV/atom
D(E_F) = 13.42 states/eV per cell
M_tot = 0.0000 μB/atom

=====

(8)
Below is a geometry-optimized ZrTiAu structure, with properties calculated at the PBE level. Values from VASP.

Cell and atoms, written as Quantum ESPRESSO input:
```
&SYSTEM
  ibrav = 0, nat = 3, ntyp = 3
/
ATOMIC_SPECIES
Zr 91.22 Zr.upf
Ti 47.87 Ti.upf
Au 196.97 Au.upf
CELL_PARAMETERS angstrom
3.405 0.000 0.000
0.000 4.225 0.000
0.000 0.000 4.508
ATOMIC_POSITIONS crystal
Zr 0.000 0.000 0.000
Ti 0.500 0.000 0.500
Au 0.000 0.500 0.500
```

energy of formation from the pure elements = 0.10 eV/atom
D(E_F) = 2.95 states/eV per cell
M_tot = 0.0000 μB/atom

=====

(9)
Below is a geometry-optimized Y12Pd6Rh structure, with properties calculated at the PBE level. Values from VASP.

Cell and atoms, written as Quantum ESPRESSO input:
```
&SYSTEM
  ibrav = 0, nat = 19, ntyp = 3
/
ATOMIC_SPECIES
Y 88.91 Y.upf
Pd 106.42 Pd.upf
Rh 102.91 Rh.upf
CELL_PARAMETERS angstrom
6.254 3.611 3.955
-6.254 3.611 3.955
0.000 -7.222 3.955
ATOMIC_POSITIONS crystal
Y 0.040 0.918 0.679
Y 0.082 0.321 0.960
Y 0.182 0.573 0.416
Y 0.321 0.960 0.082
Y 0.416 0.182 0.573
Y 0.427 0.584 0.818
Y 0.573 0.416 0.182
Y 0.584 0.818 0.427
Y 0.679 0.040 0.918
Y 0.818 0.427 0.584
Y 0.918 0.679 0.040
Y 0.960 0.082 0.321
Pd 0.130 0.312 0.622
Pd 0.312 0.622 0.130
Pd 0.378 0.870 0.688
Pd 0.622 0.130 0.312
Pd 0.688 0.378 0.870
Pd 0.870 0.688 0.378
Rh 0.000 0.000 0.000
```

energy of formation from the pure elements = -0.55 eV/atom
D(E_F) = 18.68 states/eV per cell
M_tot = 0.0000 μB/atom

=====

(10)
Below is a geometry-optimized Pr2TlCu structure, with properties calculated at the PBE level. Values from VASP.

Cell and atoms, written as Quantum ESPRESSO input:
```
&SYSTEM
  ibrav = 0, nat = 12, ntyp = 3
/
ATOMIC_SPECIES
Pr 140.91 Pr.upf
Tl 204.38 Tl.upf
Cu 63.55 Cu.upf
CELL_PARAMETERS angstrom
3.613 0.000 0.000
-1.806 3.129 0.000
0.000 0.000 32.973
ATOMIC_POSITIONS crystal
Pr 0.000 0.000 0.103
Pr 0.000 0.000 0.897
Pr 0.333 0.667 0.564
Pr 0.333 0.667 0.769
Pr 0.667 0.333 0.231
Pr 0.667 0.333 0.436
Tl 0.000 0.000 0.000
Tl 0.333 0.667 0.667
Tl 0.667 0.333 0.333
Cu 0.000 0.000 0.500
Cu 0.333 0.667 0.167
Cu 0.667 0.333 0.833
```

energy of formation from the pure elements = 0.14 eV/atom
D(E_F) = 14.73 states/eV per cell
M_tot = 0.0000 μB/atom

=====

(11)
Below is a geometry-optimized Lu3Zn5O12 structure, with properties calculated at the PBE level. Values from VASP.

Cell and atoms, written as Quantum ESPRESSO input:
```
&SYSTEM
  ibrav = 0, nat = 80, ntyp = 3
/
ATOMIC_SPECIES
Lu 174.97 Lu.upf
Zn 65.41 Zn.upf
O 16.00 O.upf
CELL_PARAMETERS angstrom
-6.188 6.188 6.188
6.188 -6.188 6.188
6.188 6.188 -6.188
ATOMIC_POSITIONS crystal
Lu 0.125 0.250 0.375
Lu 0.125 0.375 0.750
Lu 0.250 0.375 0.125
Lu 0.250 0.875 0.625
Lu 0.375 0.125 0.250
Lu 0.375 0.750 0.125
Lu 0.625 0.250 0.875
Lu 0.625 0.875 0.750
Lu 0.750 0.125 0.375
Lu 0.750 0.625 0.875
Lu 0.875 0.625 0.250
Lu 0.875 0.750 0.625
Zn 0.000 0.000 0.000
Zn 0.000 0.000 0.500
Zn 0.000 0.500 0.000
Zn 0.000 0.500 0.500
Zn 0.125 0.750 0.875
Zn 0.125 0.875 0.250
Zn 0.250 0.125 0.875
Zn 0.250 0.625 0.375
Zn 0.375 0.250 0.625
Zn 0.375 0.625 0.750
Zn 0.500 0.000 0.000
Zn 0.500 0.000 0.500
Zn 0.500 0.500 0.000
Zn 0.500 0.500 0.500
Zn 0.625 0.375 0.250
Zn 0.625 0.750 0.375
Zn 0.750 0.375 0.625
Zn 0.750 0.875 0.125
Zn 0.875 0.125 0.750
Zn 0.875 0.250 0.125
O 0.041 0.215 0.132
O 0.041 0.327 0.909
O 0.083 0.715 0.673
O 0.083 0.868 0.409
O 0.091 0.632 0.417
O 0.091 0.959 0.673
O 0.132 0.041 0.215
O 0.132 0.591 0.917
O 0.173 0.215 0.583
O 0.173 0.459 0.591
O 0.215 0.132 0.041
O 0.215 0.583 0.173
O 0.285 0.327 0.917
O 0.285 0.459 0.368
O 0.327 0.909 0.041
O 0.327 0.917 0.285
O 0.368 0.285 0.459
O 0.368 0.583 0.909
O 0.409 0.083 0.868
O 0.409 0.827 0.541
O 0.417 0.091 0.632
O 0.417 0.827 0.785
O 0.459 0.368 0.285
O 0.459 0.591 0.173
O 0.541 0.409 0.827
O 0.541 0.632 0.715
O 0.583 0.173 0.215
O 0.583 0.909 0.368
O 0.591 0.173 0.459
O 0.591 0.917 0.132
O 0.632 0.417 0.091
O 0.632 0.715 0.541
O 0.673 0.083 0.715
O 0.673 0.091 0.959
O 0.715 0.541 0.632
O 0.715 0.673 0.083
O 0.785 0.417 0.827
O 0.785 0.868 0.959
O 0.827 0.541 0.409
O 0.827 0.785 0.417
O 0.868 0.409 0.083
O 0.868 0.959 0.785
O 0.909 0.041 0.327
O 0.909 0.368 0.583
O 0.917 0.132 0.591
O 0.917 0.285 0.327
O 0.959 0.673 0.091
O 0.959 0.785 0.868
```

raw formation energy = -1.861 eV per atom
D(E_F) = 67.03 states/eV per cell
M_tot = 0.0919 μB/atom

=====

(12)
Below is a geometry-optimized HgIrSe2 structure, with properties calculated at the PBE level. Values from VASP.

Cell and atoms, written as Quantum ESPRESSO input:
```
&SYSTEM
  ibrav = 0, nat = 4, ntyp = 3
/
ATOMIC_SPECIES
Hg 200.59 Hg.upf
Ir 192.22 Ir.upf
Se 78.96 Se.upf
CELL_PARAMETERS angstrom
2.923 0.000 0.000
0.000 3.206 0.000
0.000 0.000 10.366
ATOMIC_POSITIONS crystal
Hg 0.000 0.000 0.000
Ir 0.500 0.500 0.472
Se 0.000 0.000 0.349
Se 0.500 0.500 0.711
```

raw formation energy = 0.176 eV per atom
D(E_F) = 2.16 states/eV per cell
M_tot = 0.0000 μB/atom